# Ti5Sb2Pd, optimized geometry, DFT GGA-PBE
# - offset from the most stable computed form (eV/atom) = 0.000
# - uncorrected energy (eV/cell) = -113.6
# - crystal system = tetragonal
# - calculated density (g cm⁻³) = 6.816
# - uncorrected formation energy (eV/atom) = -0.485
# - space group = No. 140
data_Ti5Sb2Pd
_cell_length_a 7.8665
_cell_length_b 7.8665
_cell_length_c 7.8665
_cell_angle_alpha 96.30
_cell_angle_beta 96.30
_cell_angle_gamma 141.31
_symmetry_space_group_name_H-M 'P 1'
_symmetry_Int_Tables_number 1
_symmetry_space_group_name_Hall 'P 1'
loop_
_atom_site_label
_atom_site_type_symbol
_atom_site_fract_x
_atom_site_fract_y
_atom_site_fract_z
Ti1 Ti 0.0759 0.7821 0.8580
Ti2 Ti 0.2179 0.0759 0.2938
Ti3 Ti 0.2500 0.7500 0.5000
Ti4 Ti 0.2821 0.5759 0.8580
Ti5 Ti 0.4241 0.2821 0.7062
Ti6 Ti 0.5759 0.7179 0.2938
Ti7 Ti 0.7179 0.4241 0.1420
Ti8 Ti 0.7500 0.2500 0.5000
Ti9 Ti 0.7821 0.9241 0.7062
Ti10 Ti 0.9241 0.2179 0.1420
Sb1 Sb 0.1632 0.3368 0.5000
Sb2 Sb 0.3368 0.8368 0.1736
Sb3 Sb 0.6632 0.1632 0.8264
Sb4 Sb 0.8368 0.6632 0.5000
Pd1 Pd 0.2500 0.2500 0.0000
Pd2 Pd 0.7500 0.7500 0.0000

---

# Ti5Sb2Pd, optimized geometry, DFT GGA-PBE
# - offset from the most stable computed form (eV/atom) = 0.121
# - uncorrected energy (eV/cell) = -111.6
# - crystal system = orthorhombic
# - calculated density (g cm⁻³) = 6.689
# - uncorrected formation energy (eV/atom) = -0.363
# - space group = No. 63
data_Ti5Sb2Pd
_cell_length_a 5.2782
_cell_length_b 5.2782
_cell_length_c 16.4222
_cell_angle_alpha 90.00
_cell_angle_beta 90.00
_cell_angle_gamma 140.25
_symmetry_space_group_name_H-M 'P 1'
_symmetry_Int_Tables_number 1
_symmetry_space_group_name_Hall 'P 1'
loop_
_atom_site_label
_atom_site_type_symbol
_atom_site_fract_x
_atom_site_fract_y
_atom_site_fract_z
Ti1 Ti 0.0369 0.9631 0.5984
Ti2 Ti 0.0369 0.9631 0.9016
Ti3 Ti 0.3626 0.6374 0.5186
Ti4 Ti 0.3626 0.6374 0.9814
Ti5 Ti 0.4170 0.5830 0.7500
Ti6 Ti 0.5830 0.4170 0.2500
Ti7 Ti 0.6374 0.3626 0.0186
Ti8 Ti 0.6374 0.3626 0.4814
Ti9 Ti 0.9631 0.0369 0.0984
Ti10 Ti 0.9631 0.0369 0.4016
Sb1 Sb 0.2405 0.7595 0.1405
Sb2 Sb 0.2405 0.7595 0.3595
Sb3 Sb 0.7595 0.2405 0.6405
Sb4 Sb 0.7595 0.2405 0.8595
Pd1 Pd 0.1279 0.8721 0.7500
Pd2 Pd 0.8721 0.1279 0.2500

---

# TiSb2Pd9, optimized geometry, DFT GGA-PBE
# - uncorrected energy (eV/cell) = -68.4
# - crystal system = tetragonal
# - calculated density (g cm⁻³) = 10.690
# - uncorrected formation energy (eV/atom) = -0.457
# - space group = No. 123
data_TiSb2Pd9
_cell_length_a 4.0142
_cell_length_b 4.0142
_cell_length_c 12.0416
_cell_angle_alpha 90.00
_cell_angle_beta 90.00
_cell_angle_gamma 90.00
_symmetry_space_group_name_H-M 'P 1'
_symmetry_Int_Tables_number 1
_symmetry_space_group_name_Hall 'P 1'
loop_
_atom_site_label
_atom_site_type_symbol
_atom_site_fract_x
_atom_site_fract_y
_atom_site_fract_z
Ti1 Ti 0.0000 0.0000 0.0000
Sb1 Sb 0.0000 0.0000 0.3304
Sb2 Sb 0.0000 0.0000 0.6696
Pd1 Pd 0.0000 0.5000 0.1569
Pd2 Pd 0.0000 0.5000 0.5000
Pd3 Pd 0.0000 0.5000 0.8431
Pd4 Pd 0.5000 0.0000 0.1569
Pd5 Pd 0.5000 0.0000 0.5000
Pd6 Pd 0.5000 0.0000 0.8431
Pd7 Pd 0.5000 0.5000 0.0000
Pd8 Pd 0.5000 0.5000 0.3294
Pd9 Pd 0.5000 0.5000 0.6706

---

# TiVSbPd, optimized geometry, DFT GGA-PBE
# - uncorrected energy (eV/cell) = -26.9
# - crystal system = cubic
# - calculated density (g cm⁻³) = 8.221
# - uncorrected formation energy (eV/atom) = -0.131
# - space group = No. 216
data_TiVSbPd
_cell_length_a 4.5373
_cell_length_b 4.5373
_cell_length_c 4.5373
_cell_angle_alpha 60.00
_cell_angle_beta 60.00
_cell_angle_gamma 60.00
_symmetry_space_group_name_H-M 'P 1'
_symmetry_Int_Tables_number 1
_symmetry_space_group_name_Hall 'P 1'
loop_
_atom_site_label
_atom_site_type_symbol
_atom_site_fract_x
_atom_site_fract_y
_atom_site_fract_z
Ti1 Ti 0.0000 0.0000 0.0000
V1 V 0.2500 0.2500 0.2500
Sb1 Sb 0.5000 0.5000 0.5000
Pd1 Pd 0.7500 0.7500 0.7500

---

# ZrTiSbPd2, optimized geometry, DFT GGA-PBE
# - uncorrected energy (eV/cell) = -29.1
# - crystal system = tetragonal
# - calculated density (g cm⁻³) = 7.125
# - uncorrected formation energy (eV/atom) = 0.373
# - space group = No. 123
data_ZrTiSbPd2
_cell_length_a 4.6496
_cell_length_b 4.6496
_cell_length_c 5.1062
_cell_angle_alpha 90.00
_cell_angle_beta 90.00
_cell_angle_gamma 90.00
_symmetry_space_group_name_H-M 'P 1'
_symmetry_Int_Tables_number 1
_symmetry_space_group_name_Hall 'P 1'
loop_
_atom_site_label
_atom_site_type_symbol
_atom_site_fract_x
_atom_site_fract_y
_atom_site_fract_z
Zr1 Zr 0.0000 0.0000 0.0000
Ti1 Ti 0.0000 0.0000 0.5000
Sb1 Sb 0.5000 0.5000 0.0000
Pd1 Pd 0.0000 0.5000 0.5000
Pd2 Pd 0.5000 0.0000 0.5000

---

# Tl2SbPd2, optimized geometry, DFT GGA-PBE
# - offset from the most stable computed form (eV/atom) = 0.179
# - uncorrected energy (eV/cell) = -18.8
# - crystal system = tetragonal
# - calculated density (g cm⁻³) = 10.162
# - uncorrected formation energy (eV/atom) = 0.094
# - space group = No. 139
data_Tl2SbPd2
_cell_length_a 8.8240
_cell_length_b 8.8240
_cell_length_c 8.8240
_cell_angle_alpha 155.12
_cell_angle_beta 155.12
_cell_angle_gamma 35.47
_symmetry_space_group_name_H-M 'P 1'
_symmetry_Int_Tables_number 1
_symmetry_space_group_name_Hall 'P 1'
loop_
_atom_site_label
_atom_site_type_symbol
_atom_site_fract_x
_atom_site_fract_y
_atom_site_fract_z
Tl1 Tl 0.1208 0.1208 0.0000
Tl2 Tl 0.8792 0.8792 0.0000
Sb1 Sb 0.5000 0.5000 0.0000
Pd1 Pd 0.2500 0.7500 0.5000
Pd2 Pd 0.7500 0.2500 0.5000

---

# TlSbPd4, optimized geometry, DFT GGA-PBE
# - offset from the most stable computed form (eV/atom) = 0.000
# - uncorrected energy (eV/cell) = -28.8
# - crystal system = monoclinic
# - calculated density (g cm⁻³) = 11.504
# - uncorrected formation energy (eV/atom) = -0.262
# - space group = No. 12
data_TlSbPd4
_cell_length_a 5.4085
_cell_length_b 5.4085
_cell_length_c 6.3239
_cell_angle_alpha 124.80
_cell_angle_beta 124.80
_cell_angle_gamma 48.84
_symmetry_space_group_name_H-M 'P 1'
_symmetry_Int_Tables_number 1
_symmetry_space_group_name_Hall 'P 1'
loop_
_atom_site_label
_atom_site_type_symbol
_atom_site_fract_x
_atom_site_fract_y
_atom_site_fract_z
Tl1 Tl 0.0000 0.0000 0.0000
Sb1 Sb 0.0000 0.0000 0.5000
Pd1 Pd 0.3201 0.3201 0.9568
Pd2 Pd 0.3460 0.3460 0.4958
Pd3 Pd 0.6540 0.6540 0.5042
Pd4 Pd 0.6799 0.6799 0.0432

---

# TlSbPd, optimized geometry, DFT GGA-PBE
# - offset from the most stable computed form (eV/atom) = 0.000
# - uncorrected energy (eV/cell) = -49.9
# - crystal system = monoclinic
# - calculated density (g cm⁻³) = 8.916
# - uncorrected formation energy (eV/atom) = -0.268
# - space group = No. 14
data_TlSbPd
_cell_length_a 7.3013
_cell_length_b 7.1794
_cell_length_c 6.1591
_cell_angle_alpha 90.00
_cell_angle_beta 93.47
_cell_angle_gamma 90.00
_symmetry_space_group_name_H-M 'P 1'
_symmetry_Int_Tables_number 1
_symmetry_space_group_name_Hall 'P 1'
loop_
_atom_site_label
_atom_site_type_symbol
_atom_site_fract_x
_atom_site_fract_y
_atom_site_fract_z
Tl1 Tl 0.1558 0.0008 0.2709
Tl2 Tl 0.1558 0.4992 0.7709
Tl3 Tl 0.8442 0.5008 0.2291
Tl4 Tl 0.8442 0.9992 0.7291
Sb1 Sb 0.3353 0.0007 0.8019
Sb2 Sb 0.3353 0.4993 0.3019
Sb3 Sb 0.6647 0.5007 0.6981
Sb4 Sb 0.6647 0.9993 0.1981
Pd1 Pd 0.4987 0.7022 0.9997
Pd2 Pd 0.4987 0.7978 0.4997
Pd3 Pd 0.5013 0.2022 0.5003
Pd4 Pd 0.5013 0.2978 0.0003

---

# Tl2Sb2Pd, optimized geometry, DFT GGA-PBE
# - offset from the most stable computed form (eV/atom) = 0.000
# - uncorrected energy (eV/cell) = -18.6
# - crystal system = trigonal
# - calculated density (g cm⁻³) = 8.187
# - uncorrected formation energy (eV/atom) = -0.092
# - space group = No. 166
data_Tl2Sb2Pd
_cell_length_a 10.6090
_cell_length_b 10.6090
_cell_length_c 10.6090
_cell_angle_alpha 22.54
_cell_angle_beta 22.54
_cell_angle_gamma 22.54
_symmetry_space_group_name_H-M 'P 1'
_symmetry_Int_Tables_number 1
_symmetry_space_group_name_Hall 'P 1'
loop_
_atom_site_label
_atom_site_type_symbol
_atom_site_fract_x
_atom_site_fract_y
_atom_site_fract_z
Tl1 Tl 0.0520 0.0520 0.0520
Tl2 Tl 0.9480 0.9480 0.9480
Sb1 Sb 0.2078 0.2078 0.2078
Sb2 Sb 0.7922 0.7922 0.7922
Pd1 Pd 0.5000 0.5000 0.5000

---

# Tl2SbPd3, optimized geometry, DFT GGA-PBE
# - offset from the most stable computed form (eV/atom) = 0.024
# - uncorrected energy (eV/cell) = -51.8
# - crystal system = monoclinic
# - calculated density (g cm⁻³) = 10.987
# - uncorrected formation energy (eV/atom) = -0.246
# - space group = No. 11
data_Tl2SbPd3
_cell_length_a 7.5681
_cell_length_b 4.3743
_cell_length_c 8.0023
_cell_angle_alpha 90.00
_cell_angle_beta 104.17
_cell_angle_gamma 90.00
_symmetry_space_group_name_H-M 'P 1'
_symmetry_Int_Tables_number 1
_symmetry_space_group_name_Hall 'P 1'
loop_
_atom_site_label
_atom_site_type_symbol
_atom_site_fract_x
_atom_site_fract_y
_atom_site_fract_z
Tl1 Tl 0.0504 0.2500 0.3530
Tl2 Tl 0.2022 0.2500 0.9539
Tl3 Tl 0.7978 0.7500 0.0461
Tl4 Tl 0.9496 0.7500 0.6470
Sb1 Sb 0.4736 0.2500 0.6900
Sb2 Sb 0.5264 0.7500 0.3100
Pd1 Pd 0.1716 0.7500 0.1622
Pd2 Pd 0.2867 0.7500 0.5231
Pd3 Pd 0.4183 0.7500 0.8839
Pd4 Pd 0.5817 0.2500 0.1161
Pd5 Pd 0.7133 0.2500 0.4769
Pd6 Pd 0.8284 0.2500 0.8378

---

# TlSb2Pd6, optimized geometry, DFT GGA-PBE
# - uncorrected energy (eV/cell) = -45.0
# - crystal system = hexagonal
# - calculated density (g cm⁻³) = 11.195
# - uncorrected formation energy (eV/atom) = -0.361
# - space group = No. 189
data_TlSb2Pd6
_cell_length_a 7.4915
_cell_length_b 7.4915
_cell_length_c 3.3156
_cell_angle_alpha 90.00
_cell_angle_beta 90.00
_cell_angle_gamma 120.00
_symmetry_space_group_name_H-M 'P 1'
_symmetry_Int_Tables_number 1
_symmetry_space_group_name_Hall 'P 1'
loop_
_atom_site_label
_atom_site_type_symbol
_atom_site_fract_x
_atom_site_fract_y
_atom_site_fract_z
Tl1 Tl 0.0000 0.0000 0.0000
Sb1 Sb 0.3333 0.6667 0.5000
Sb2 Sb 0.6667 0.3333 0.5000
Pd1 Pd 0.0000 0.3793 0.0000
Pd2 Pd 0.0000 0.7003 0.5000
Pd3 Pd 0.2997 0.2997 0.5000
Pd4 Pd 0.3793 0.0000 0.0000
Pd5 Pd 0.6207 0.6207 0.0000
Pd6 Pd 0.7003 0.0000 0.5000

---

# TlSb2Pd8, optimized geometry, DFT GGA-PBE
# - offset from the most stable computed form (eV/atom) = 0.005
# - uncorrected energy (eV/cell) = -55.8
# - crystal system = triclinic
# - calculated density (g cm⁻³) = 11.125
# - uncorrected formation energy (eV/atom) = -0.334
# - space group = No. 1
data_TlSb2Pd8
_cell_length_a 4.7721
_cell_length_b 5.9592
_cell_length_c 7.7573
_cell_angle_alpha 111.07
_cell_angle_beta 106.12
_cell_angle_gamma 94.33
_symmetry_space_group_name_H-M 'P 1'
_symmetry_Int_Tables_number 1
_symmetry_space_group_name_Hall 'P 1'
loop_
_atom_site_label
_atom_site_type_symbol
_atom_site_fract_x
_atom_site_fract_y
_atom_site_fract_z
Tl1 Tl 0.0000 0.0000 0.0000
Sb1 Sb 0.3143 0.3704 0.6810
Sb2 Sb 0.6333 0.6894 0.3181
Pd1 Pd 0.1447 0.5697 0.9999
Pd2 Pd 0.1560 0.4400 0.3447
Pd3 Pd 0.1665 0.9406 0.3845
Pd4 Pd 0.3538 0.8510 0.7451
Pd5 Pd 0.6093 0.1068 0.2553
Pd6 Pd 0.6341 0.3347 0.9997
Pd7 Pd 0.7819 0.5564 0.6154
Pd8 Pd 0.8109 0.0946 0.6546

---

Size of the total moment in μB/cell, matching the order above: 0.00; 0.00; 0.00; 0.40; 0.00; 0.00; 0.00; 0.00; 0.00; 0.00; 0.00; 0.00